First-principles (PBE-GGA) data for a relaxed structure of ErRhO3, as listed in the Alexandria database.

Summary:
Space-group type: C2/c, No. 15
E_form (uncorrected) in meV/atom: -2097

Geometry as POSCAR:
```
ErRhO3
1.0
5.573 0.000 0.000
-2.787 4.628 -1.840
0.000 0.149 9.176
Er Rh O
4 4 12
direct
0.180 0.706 0.864 Er
0.473 0.294 0.636 Er
0.820 0.294 0.136 Er
0.527 0.706 0.364 Er
0.000 0.500 0.500 Rh
0.500 0.500 0.000 Rh
0.224 0.000 0.250 Rh
0.776 0.000 0.750 Rh
0.191 0.296 0.811 O
0.895 0.704 0.689 O
0.809 0.704 0.189 O
0.105 0.296 0.311 O
0.376 0.640 0.635 O
0.736 0.360 0.865 O
0.624 0.360 0.365 O
0.264 0.640 0.135 O
0.659 0.872 0.943 O
0.787 0.128 0.557 O
0.213 0.872 0.443 O
0.341 0.128 0.057 O
```